# 1
Compound: NdHo2Zn
Source: Alexandria via LeMat-Bulk
Functional: PBE-GGA
Structure: relaxed

## Properties
D(E_F): 0.780 states/eV/atom
magnetization: 0.00 μB/atom
energy relative to the elements: -0.3 eV/f.u.

Lattice parameters (Å, degrees): 3.5831 3.5831 31.0500 90.00 90.00 120.00
With the nearest neighbours (Å) after each atom.
Space group R-3m (No. 166, hexagonal axes)
Inequivalent atoms, fractional coordinates:
Nd (0.0000, 0.0000, 0.0000)  6 Nd 3.58, 6 Ho 3.61
Ho (0.0000, 0.0000, 0.2379)  3 Zn 3.03
Zn (0.0000, 0.0000, 0.5000)  6 Ho 3.03


# 2
Compound: Nd2HoZn6
Source: Alexandria via LeMat-Bulk
Functional: PBE-GGA
Structure: relaxed

## Properties
D(E_F): 0.821 states/eV/atom
magnetization: 0.00 μB/atom
energy relative to the elements: -3.2 eV/f.u.

Lattice parameters (Å, degrees): 7.8717 7.8717 3.5696 90.00 90.00 120.00
With the nearest neighbours (Å) after each atom.
Space group P6/mmm (No. 191)
Inequivalent atoms, fractional coordinates:
Nd (0.3333, 0.6667, 0.0000)  12 Zn 3.19
Ho (0.0000, 0.0000, 0.0000)  12 Zn 3.15
Zn (0.0000, 0.3291, 0.5000)  3 Zn 2.59-2.69


# 3
Compound: Nd3Ho2Zn2
Source: Alexandria via LeMat-Bulk
Functional: PBE-GGA
Structure: relaxed

## Properties
D(E_F): 1.285 states/eV/atom
magnetization: 0.00 μB/atom
energy relative to the elements: -0.6 eV/f.u.

Lattice parameters (Å, degrees): 3.6300 30.9826 3.6001 90.00 90.00 90.00
With the nearest neighbours (Å) after each atom.
Space group Cmmm (No. 65)
Inequivalent atoms, fractional coordinates:
Nd (0.0000, 0.0000, 0.0000)  8 Zn 3.17
Nd (0.0000, 0.1213, 0.0000)  4 Zn 3.18
Ho (0.0000, 0.2974, 0.5000)  6 Ho 3.45-3.63, 4 Nd 3.59
Zn (0.0000, 0.4396, 0.5000)  8 Nd 3.17-3.18


# 4
Compound: Nd2HoZn
Source: Alexandria via LeMat-Bulk
Functional: PBE-GGA
Structure: relaxed

## Properties
D(E_F): 0.975 states/eV/atom
magnetization: 0.00 μB/atom
energy relative to the elements: -0.6 eV/f.u.

Lattice parameters (Å, degrees): 3.6625 3.6625 8.7211 90.00 90.00 90.00
With the nearest neighbours (Å) after each atom.
Space group P4/mmm (No. 123)
Inequivalent atoms, fractional coordinates:
Nd (0.0000, 0.0000, 0.2120)  4 Zn 3.18
Ho (0.5000, 0.5000, 0.5000)  8 Nd 3.61, 4 Ho 3.66
Zn (0.5000, 0.5000, 0.0000)  8 Nd 3.18


# 5
Compound: NdHoZn3
Source: Alexandria via LeMat-Bulk
Functional: PBE-GGA
Structure: relaxed

## Properties
D(E_F): 0.651 states/eV/atom
magnetization: 0.00 μB/atom
energy relative to the elements: -1.2 eV/f.u.

Lattice parameters (Å, degrees): 14.4386 4.8594 6.4166 90.00 99.52 90.00
With the nearest neighbours (Å) after each atom.
Space group C2/m (No. 12)
Inequivalent atoms, fractional coordinates:
Nd (0.1117, 0.0000, 0.4540)  6 Zn 2.92-3.15
Ho (0.1799, 0.5000, 0.1067)  7 Zn 2.92-3.23
Zn (0.0174, 0.5000, 0.7186)  4 Zn 2.74-2.80
Zn (0.0769, 0.0000, 0.9125)  3 Zn 2.65-2.80
Zn (0.2011, 0.5000, 0.6612)  1 Zn 2.74, 3 Nd 2.92-2.96, 1 Ho 2.92


# 6
Compound: Nd3HoZn2
Source: Alexandria via LeMat-Bulk
Functional: PBE-GGA
Structure: relaxed

## Properties
D(E_F): 1.755 states/eV/atom
magnetization: 0.00 μB/atom
energy relative to the elements: 0.3 eV/f.u.

Lattice parameters (Å, degrees): 7.0048 14.6875 7.3164 90.00 90.00 90.00
With the nearest neighbours (Å) after each atom.
Space group Ibam (No. 72)
Inequivalent atoms, fractional coordinates:
Nd (0.0000, 0.0000, 0.2500)  4 Zn 3.07
Nd (0.0000, 0.2746, 0.2500)  4 Zn 3.05-3.09
Ho (0.0000, 0.5000, 0.0000)  2 Zn 2.88
Zn (0.2053, 0.1365, 0.0000)  1 Ho 2.88, 6 Nd 3.05-3.09


# 7
Compound: Nd3Ho2Zn3
Source: Alexandria via LeMat-Bulk
Functional: PBE-GGA
Structure: relaxed

## Properties
D(E_F): 1.193 states/eV/atom
magnetization: 0.00 μB/atom
energy relative to the elements: -1.9 eV/f.u.

Lattice parameters (Å, degrees): 3.6717 5.3199 21.7237 90.00 90.00 90.00
With the nearest neighbours (Å) after each atom.
Space group Immm (No. 71)
Inequivalent atoms, fractional coordinates:
Nd (0.0000, 0.0000, 0.0000)  8 Zn 3.18-3.23
Nd (0.0000, 0.5000, 0.1196)  6 Zn 3.18-3.23
Ho (0.0000, 0.0000, 0.2302)  2 Zn 3.02, 4 Ho 3.34
Zn (0.0000, 0.0000, 0.5000)  8 Nd 3.18-3.23
Zn (0.0000, 0.5000, 0.3803)  2 Ho 3.02, 6 Nd 3.18-3.23


# 8
Compound: Nd2Ho3Zn3
Source: Alexandria via LeMat-Bulk
Functional: PBE-GGA
Structure: relaxed

## Properties
D(E_F): 0.903 states/eV/atom
magnetization: 0.00 μB/atom
energy relative to the elements: -1.8 eV/f.u.

Lattice parameters (Å, degrees): 3.6500 5.1419 21.7934 90.00 90.00 90.00
With the nearest neighbours (Å) after each atom.
Space group Immm (No. 71)
Inequivalent atoms, fractional coordinates:
Nd (0.0000, 0.0000, 0.2269)  2 Zn 3.12, 4 Nd 3.31
Ho (0.0000, 0.0000, 0.0000)  8 Zn 3.02-3.15
Ho (0.0000, 0.5000, 0.1143)  6 Zn 3.09-3.15
Zn (0.0000, 0.0000, 0.5000)  8 Ho 3.09-3.15
Zn (0.0000, 0.5000, 0.3895)  6 Ho 3.02-3.15, 2 Nd 3.12